Entry from the Alexandria database: a relaxed structure of YRe2Ge2 (PBE).

a b c (Å): 7.4692 7.4692 3.0586
angles (deg): 90.00 90.00 90.00
Space group P4/mbm (No. 127)
Inequivalent atoms, fractional coordinates:
Y (0.0000, 0.0000, 0.0000) x2
Re (0.1441, 0.3559, 0.5000) x4
Ge (0.1444, 0.6444, 0.0000) x4

Summary:
**Formation enthalpy at 0 K**: 0.17 eV per formula unit
**Total moment**: 0.0 Bohr magnetons per cell
**Volume**: 85.3 Å³/f.u.